# 1
Entry from OQMD: an optimized crystal structure of RbMo3Se5 (PBE).

Calculated values
* E_tot: -6.044 eV per atom

Structure (POSCAR):
```
RbMo3Se5
1.0
5.833 0.000 0.000
-2.917 5.052 0.000
0.000 0.000 7.610
Rb Mo Se
1 3 5
direct
0.000 0.000 0.000
0.000 0.500 0.500
0.500 0.000 0.500
0.500 0.500 0.500
0.000 0.000 0.500
0.333 0.667 0.245
0.333 0.667 0.755
0.667 0.333 0.245
0.667 0.333 0.755
```

---

# 2
Entry from OQMD: an optimized crystal structure of ErInFeS3 (PBE).

Calculated values
* E_tot: -5.655 eV per atom

Structure (POSCAR):
```
ErInFeS3
1.0
1.950 -7.072 0.000
1.950 7.072 0.000
0.000 0.000 10.286
Er In Fe S
2 2 2 6
direct
0.000 0.000 0.000
0.000 0.000 0.500
0.248 0.752 0.750
0.752 0.248 0.250
0.471 0.529 0.250
0.529 0.471 0.750
0.064 0.936 0.250
0.377 0.623 0.070
0.377 0.623 0.430
0.623 0.377 0.570
0.623 0.377 0.930
0.936 0.064 0.750
```

---

# 3
Entry from OQMD: an optimized crystal structure of In2Ag2W (PBE).

Calculated values
* E_tot: -4.306 eV per atom

Structure (POSCAR):
```
In2Ag2W
1.0
2.636 -6.721 0.000
2.636 6.721 0.000
-0.173 0.000 5.711
In Ag W
4 4 2
direct
0.027 0.645 0.502
0.178 0.822 0.000
0.645 0.027 0.502
0.822 0.178 0.000
0.264 0.467 0.360
0.390 0.591 0.865
0.467 0.264 0.360
0.591 0.390 0.865
0.871 0.871 0.274
0.983 0.983 0.685
```

---

# 4
Entry from OQMD: an optimized crystal structure of YErIn5 (PBE).

Calculated values
* E_tot: -3.838 eV per atom

Structure (POSCAR):
```
YErIn5
1.0
4.676 0.000 0.000
0.000 4.676 0.000
0.000 0.000 8.475
Y Er In
1 1 5
direct
0.000 0.000 0.000
0.000 0.000 0.500
0.000 0.500 0.266
0.000 0.500 0.734
0.500 0.000 0.266
0.500 0.000 0.734
0.500 0.500 0.000
```

---

# 5
Entry from OQMD: an optimized crystal structure of NaHfAg3Te4 (PBE).

Calculated values
* distance to the lowest polymorph of the same formula: 0.0 kJ per mole of atoms

Structure (POSCAR):
```
NaHfAg3Te4
1.0
6.658 0.000 0.000
0.000 6.658 0.000
0.000 0.000 6.658
Na Hf Ag Te
1 1 3 4
direct
0.000 0.000 0.000
0.500 0.500 0.500
0.000 0.500 0.500
0.500 0.000 0.500
0.500 0.500 0.000
0.262 0.262 0.262
0.262 0.738 0.738
0.738 0.262 0.738
0.738 0.738 0.262
```

---

# 6
Entry from OQMD: an optimized crystal structure of CsLuCoS3 (PBE).

Calculated values
* distance to the lowest polymorph of the same formula: 0.1 kJ per mole of atoms

Structure (POSCAR):
```
CsLuCoS3
1.0
15.811 0.000 0.000
0.000 3.849 0.000
0.000 0.000 10.418
Cs Lu Co S
4 4 4 12
direct
0.236 0.250 0.018
0.264 0.750 0.518
0.736 0.250 0.482
0.764 0.750 0.982
0.019 0.250 0.346
0.481 0.750 0.846
0.519 0.250 0.154
0.981 0.750 0.654
0.011 0.750 0.085
0.489 0.250 0.585
0.511 0.750 0.415
0.989 0.250 0.915
0.062 0.750 0.891
0.088 0.250 0.576
0.114 0.750 0.240
0.386 0.250 0.740
0.412 0.750 0.076
0.438 0.250 0.391
0.562 0.750 0.609
0.588 0.250 0.924
0.614 0.750 0.260
0.886 0.250 0.760
0.912 0.750 0.424
0.938 0.250 0.109
```

---

# 7
Entry from OQMD: an optimized crystal structure of TmTlPb3 (PBE).

Calculated values
* E_tot: -2.991 eV per atom

Structure (POSCAR):
```
TmTlPb3
1.0
10.112 0.000 0.000
-5.056 8.758 0.000
0.000 0.000 5.432
Tm Tl Pb
2 2 6
direct
0.000 0.000 0.250
0.000 0.000 0.750
0.333 0.667 0.250
0.667 0.333 0.750
0.166 0.332 0.250
0.166 0.834 0.250
0.332 0.166 0.750
0.668 0.834 0.250
0.834 0.166 0.750
0.834 0.668 0.750
```

---

# 8
Entry from OQMD: an optimized crystal structure of NiH6Pd2 (PBE).

Calculated values
* E_tot: -3.836 eV per atom

Structure (POSCAR):
```
NiH6Pd2
1.0
0.000 3.131 3.131
3.131 0.000 3.131
3.131 3.131 0.000
Ni H Pd
1 6 2
direct
0.000 0.000 0.000
0.253 0.253 0.747
0.253 0.747 0.253
0.253 0.747 0.747
0.747 0.253 0.253
0.747 0.253 0.747
0.747 0.747 0.253
0.250 0.250 0.250
0.750 0.750 0.750
```

---

# 9
Entry from OQMD: an optimized crystal structure of Cu7Ag3 (PBE).

Calculated values
* distance to the lowest polymorph of the same formula: 5.2 kJ per mole of atoms
* formation energy: 0.0985 eV/atom

Structure (POSCAR):
```
Cu7Ag3
1.0
1.364 0.787 21.344
-1.364 0.787 21.344
0.000 -1.575 21.344
Cu Ag
7 3
direct
0.000 0.000 0.000
0.093 0.093 0.093
0.193 0.193 0.193
0.303 0.303 0.303
0.395 0.395 0.395
0.698 0.698 0.698
0.790 0.790 0.790
0.492 0.492 0.492
0.601 0.601 0.601
0.895 0.895 0.895
```

---

# 10
Entry from OQMD: an optimized crystal structure of ZnGa2Te2S2 (PBE).

Calculated values
* distance to the lowest polymorph of the same formula: 0.9 kJ per mole of atoms

Structure (POSCAR):
```
ZnGa2Te2S2
1.0
3.969 -5.531 0.000
3.969 5.531 0.000
-3.910 0.000 4.182
Zn Ga Te S
1 2 2 2
direct
0.000 0.000 0.000
0.275 0.725 0.500
0.502 0.498 0.000
0.424 0.130 0.501
0.870 0.576 0.499
0.146 0.383 0.016
0.617 0.854 0.984
```

---

# 11
Entry from OQMD: an optimized crystal structure of Tc2F (PBE).

Calculated values
* E_tot: -6.802 eV per atom

Structure (POSCAR):
```
Tc2F
1.0
0.000 3.554 3.554
3.554 0.000 3.554
3.554 3.554 0.000
Tc F
4 2
direct
0.000 0.000 0.000
0.000 0.000 0.500
0.000 0.500 0.000
0.500 0.000 0.000
0.375 0.375 0.375
0.625 0.625 0.625
```

---

# 12
Entry from OQMD: an optimized crystal structure of YNi2Te (PBE).

Calculated values
* E_tot: -5.285 eV per atom

Structure (POSCAR):
```
YNi2Te
1.0
0.000 3.324 3.324
3.324 0.000 3.324
3.324 3.324 0.000
Y Ni Te
1 2 1
direct
0.000 0.000 0.000
0.250 0.250 0.250
0.500 0.500 0.500
0.750 0.750 0.750
```

---

no.,volume (Å³/atom),ρ (g/cm³)
1,24.92,5.688
2,23.64,5.081
3,20.24,10.326
4,26.48,7.439
5,32.79,5.827
6,26.42,4.851
7,48.11,6.869
8,6.82,7.509
9,13.75,9.279
10,26.23,4.741
11,14.96,7.955
12,18.36,7.550